Material: BaYBe
Method: DFT, PBE
State: optimized geometry

## Properties
- V (Å³/atom) = 33.2
- SG = No. 216
- D(E_F) (states/eV/f.u.) = 4.65
- magnetic moment (μB/f.u.) = 0.000
- crystal system = cubic
- calculated formation energy (eV per atom) = 0.60

a b c (Å): 5.202 5.202 5.202
angles (deg): 60.00 60.00 60.00
Sites, in units of the cell vectors:
Ba (0.000, 0.000, 0.000)
Y (0.500, 0.500, 0.500)
Be (0.750, 0.750, 0.750)